No. 1
# CaNiS2N GGA-PBE relaxed
# Raw total energy in eV/atom: -5.168
# Distance to the lowest polymorph of the same formula in eV/atom: 0.000
# Uncorrected formation energy in eV/atom: -0.2955
# Space group: P4/mmm
data_CaNiS2N
_chemical_formula_sum 'Ca1 Ni1 S2 N1'
_symmetry_space_group_name_H-M 'P 1'
_symmetry_Int_Tables_number 1
_symmetry_space_group_name_Hall 'P 1'
_cell_length_a 4.8268
_cell_length_b 4.8268
_cell_length_c 3.5025
_cell_angle_alpha 90.00
_cell_angle_beta 90.00
_cell_angle_gamma 90.00
loop_
_atom_site_label
_atom_site_fract_x
_atom_site_fract_y
_atom_site_fract_z
_atom_site_occupancy
Ca1 0.0000 0.0000 0.0000 1
Ni1 0.5000 0.5000 0.5000 1
S1 0.0000 0.5000 0.5000 1
S2 0.5000 0.0000 0.5000 1
N1 0.5000 0.5000 0.0000 1

No. 2
# Rb2Mg2Br5 GGA-PBE relaxed
# Raw total energy in eV/atom: -2.864
# Uncorrected formation energy in eV/atom: -1.3654
# Space group: C2/m
data_Rb2Mg2Br5
_chemical_formula_sum 'Rb2 Mg2 Br5'
_symmetry_space_group_name_H-M 'P 1'
_symmetry_Int_Tables_number 1
_symmetry_space_group_name_Hall 'P 1'
_cell_length_a 8.1632
_cell_length_b 8.1632
_cell_length_c 8.2915
_cell_angle_alpha 110.20
_cell_angle_beta 110.20
_cell_angle_gamma 40.80
loop_
_atom_site_label
_atom_site_fract_x
_atom_site_fract_y
_atom_site_fract_z
_atom_site_occupancy
Rb1 0.1046 0.1046 0.3068 1
Rb2 0.8954 0.8954 0.6932 1
Mg1 0.3477 0.3477 0.1165 1
Mg2 0.6523 0.6523 0.8835 1
Br1 0.1567 0.1567 0.9203 1
Br2 0.3498 0.3498 0.4288 1
Br3 0.5000 0.5000 0.0000 1
Br4 0.6502 0.6502 0.5712 1
Br5 0.8433 0.8433 0.0797 1

No. 3
# KInGe GGA-PBE relaxed
# Raw total energy in eV/atom: -2.883
# Formation enthalpy at 0 K in eV per atom: -0.065
# Space group: Pmm2
data_KInGe
_chemical_formula_sum 'K2 In2 Ge2'
_symmetry_space_group_name_H-M 'P 1'
_symmetry_Int_Tables_number 1
_symmetry_space_group_name_Hall 'P 1'
_cell_length_a 4.5838
_cell_length_b 4.7303
_cell_length_c 8.6499
_cell_angle_alpha 90.00
_cell_angle_beta 90.00
_cell_angle_gamma 90.00
loop_
_atom_site_label
_atom_site_fract_x
_atom_site_fract_y
_atom_site_fract_z
_atom_site_occupancy
K1 0.0000 0.0000 0.0000 1
K2 0.5000 0.5000 0.3126 1
In1 0.0000 0.5000 0.6385 1
In2 0.5000 0.5000 0.8634 1
Ge1 0.0000 0.0000 0.4508 1
Ge2 0.5000 0.0000 0.6384 1

No. 4
# Zn4Ni5Rh GGA-PBE relaxed
# Raw total energy in eV/atom: -4.315
# Formation enthalpy at 0 K in eV per atom: -0.180
# Space group: P4/mmm
data_Zn4Ni5Rh
_chemical_formula_sum 'Zn4 Ni5 Rh1'
_symmetry_space_group_name_H-M 'P 1'
_symmetry_Int_Tables_number 1
_symmetry_space_group_name_Hall 'P 1'
_cell_length_a 2.6905
_cell_length_b 2.6905
_cell_length_c 16.8982
_cell_angle_alpha 90.00
_cell_angle_beta 90.00
_cell_angle_gamma 90.00
loop_
_atom_site_label
_atom_site_fract_x
_atom_site_fract_y
_atom_site_fract_z
_atom_site_occupancy
Zn1 0.0000 0.0000 0.0983 1
Zn2 0.0000 0.0000 0.2954 1
Zn3 0.0000 0.0000 0.7046 1
Zn4 0.0000 0.0000 0.9017 1
Ni1 0.5000 0.5000 0.0000 1
Ni2 0.5000 0.5000 0.1967 1
Ni3 0.5000 0.5000 0.3954 1
Ni4 0.5000 0.5000 0.6046 1
Ni5 0.5000 0.5000 0.8033 1
Rh1 0.0000 0.0000 0.5000 1

No. 5
# CeCd5Au2 GGA-PBE relaxed
# Raw total energy in eV/atom: -2.417
# Formation enthalpy at 0 K in eV per atom: -0.284
# Space group: Immm
data_CeCd5Au2
_chemical_formula_sum 'Ce1 Cd5 Au2'
_symmetry_space_group_name_H-M 'P 1'
_symmetry_Int_Tables_number 1
_symmetry_space_group_name_Hall 'P 1'
_cell_length_a 7.1796
_cell_length_b 7.1796
_cell_length_c 7.1796
_cell_angle_alpha 148.10
_cell_angle_beta 104.26
_cell_angle_gamma 84.53
loop_
_atom_site_label
_atom_site_fract_x
_atom_site_fract_y
_atom_site_fract_z
_atom_site_occupancy
Ce1 0.0000 0.0000 0.0000 1
Cd1 0.1598 0.3569 0.8029 1
Cd2 0.4459 0.6431 0.8029 1
Cd3 0.5000 0.0000 0.5000 1
Cd4 0.5541 0.3569 0.1971 1
Cd5 0.8402 0.6431 0.1971 1
Au1 0.2250 0.7250 0.5000 1
Au2 0.7750 0.2750 0.5000 1

No. 6
# NaPt2 GGA-PBE relaxed
# Raw total energy in eV/atom: -4.548
# Distance to the lowest polymorph of the same formula in eV/atom: 0.306
# Formation enthalpy at 0 K in eV per atom: -0.081
# Space group: Pnma
data_NaPt2
_chemical_formula_sum 'Na4 Pt8'
_symmetry_space_group_name_H-M 'P 1'
_symmetry_Int_Tables_number 1
_symmetry_space_group_name_Hall 'P 1'
_cell_length_a 5.6852
_cell_length_b 3.9929
_cell_length_c 8.6418
_cell_angle_alpha 90.00
_cell_angle_beta 90.00
_cell_angle_gamma 90.00
loop_
_atom_site_label
_atom_site_fract_x
_atom_site_fract_y
_atom_site_fract_z
_atom_site_occupancy
Na1 0.0905 0.2500 0.0745 1
Na2 0.4095 0.7500 0.5745 1
Na3 0.5905 0.2500 0.4255 1
Na4 0.9095 0.7500 0.9255 1
Pt1 0.0827 0.2500 0.4057 1
Pt2 0.1728 0.2500 0.7415 1
Pt3 0.3272 0.7500 0.2415 1
Pt4 0.4173 0.7500 0.9057 1
Pt5 0.5827 0.2500 0.0943 1
Pt6 0.6728 0.2500 0.7585 1
Pt7 0.8272 0.7500 0.2585 1
Pt8 0.9173 0.7500 0.5943 1

No. 7
# Tl2Si2Pb GGA-PBE relaxed
# Raw total energy in eV/atom: -3.421
# Distance to the lowest polymorph of the same formula in eV/atom: 0.189
# Uncorrected formation energy in eV/atom: 0.4367
# Space group: I4/mmm
data_Tl2Si2Pb
_chemical_formula_sum 'Tl2 Si2 Pb1'
_symmetry_space_group_name_H-M 'P 1'
_symmetry_Int_Tables_number 1
_symmetry_space_group_name_Hall 'P 1'
_cell_length_a 6.7958
_cell_length_b 6.7958
_cell_length_c 6.7958
_cell_angle_alpha 139.02
_cell_angle_beta 139.02
_cell_angle_gamma 59.34
loop_
_atom_site_label
_atom_site_fract_x
_atom_site_fract_y
_atom_site_fract_z
_atom_site_occupancy
Tl1 0.2500 0.7500 0.5000 1
Tl2 0.7500 0.2500 0.5000 1
Si1 0.0975 0.0975 0.0000 1
Si2 0.9025 0.9025 0.0000 1
Pb1 0.5000 0.5000 0.0000 1

No. 8
# NbTcNi GGA-PBE relaxed
# Raw total energy in eV/atom: -8.733
# Distance to the lowest polymorph of the same formula in eV/atom: 0.158
# Formation enthalpy at 0 K in eV per atom: 0.006
# Space group: I4mm
data_NbTcNi
_chemical_formula_sum 'Nb1 Tc1 Ni1'
_symmetry_space_group_name_H-M 'P 1'
_symmetry_Int_Tables_number 1
_symmetry_space_group_name_Hall 'P 1'
_cell_length_a 4.8419
_cell_length_b 4.8419
_cell_length_c 4.8419
_cell_angle_alpha 141.09
_cell_angle_beta 141.09
_cell_angle_gamma 56.19
loop_
_atom_site_label
_atom_site_fract_x
_atom_site_fract_y
_atom_site_fract_z
_atom_site_occupancy
Nb1 0.0000 0.0000 0.0000 1
Tc1 0.3378 0.3378 0.0000 1
Ni1 0.6690 0.6690 0.0000 1

No. 9
# AlIN2Cl GGA-PBE relaxed
# Raw total energy in eV/atom: -2.765
# Distance to the lowest polymorph of the same formula in eV/atom: 1.070
# Uncorrected formation energy in eV/atom: 1.9926
# Space group: P4/mmm
data_AlIN2Cl
_chemical_formula_sum 'Al1 I1 N2 Cl1'
_symmetry_space_group_name_H-M 'P 1'
_symmetry_Int_Tables_number 1
_symmetry_space_group_name_Hall 'P 1'
_cell_length_a 4.3341
_cell_length_b 4.3341
_cell_length_c 8.0737
_cell_angle_alpha 90.00
_cell_angle_beta 90.00
_cell_angle_gamma 90.00
loop_
_atom_site_label
_atom_site_fract_x
_atom_site_fract_y
_atom_site_fract_z
_atom_site_occupancy
Al1 0.0000 0.0000 0.0000 1
I1 0.5000 0.5000 0.0000 1
N1 0.0000 0.5000 0.5000 1
N2 0.5000 0.0000 0.5000 1
Cl1 0.5000 0.5000 0.5000 1

No. 10
# BeCuAs2 GGA-PBE relaxed
# Raw total energy in eV/atom: -3.857
# Formation enthalpy at 0 K in eV per atom: 0.423
# Space group: P4/mmm
data_BeCuAs2
_chemical_formula_sum 'Be1 Cu1 As2'
_symmetry_space_group_name_H-M 'P 1'
_symmetry_Int_Tables_number 1
_symmetry_space_group_name_Hall 'P 1'
_cell_length_a 4.1531
_cell_length_b 4.1531
_cell_length_c 3.4743
_cell_angle_alpha 90.00
_cell_angle_beta 90.00
_cell_angle_gamma 90.00
loop_
_atom_site_label
_atom_site_fract_x
_atom_site_fract_y
_atom_site_fract_z
_atom_site_occupancy
Be1 0.0000 0.0000 0.0000 1
Cu1 0.5000 0.5000 0.0000 1
As1 0.0000 0.5000 0.5000 1
As2 0.5000 0.0000 0.5000 1

Number 1: M_tot 0.24 μB per formula unit, D(E_F) 3.61 states/eV/cell. Number 2: M_tot 0.00 μB per formula unit, D(E_F) 0.36 states/eV/cell. Number 3: M_tot 0.00 μB per formula unit, D(E_F) 1.29 states/eV/cell. Number 4: M_tot 1.43 μB per formula unit, D(E_F) 7.18 states/eV/cell. Number 5: M_tot 0.98 μB per formula unit, D(E_F) 8.76 states/eV/cell. Number 6: M_tot 0.00 μB per formula unit, D(E_F) 11.38 states/eV/cell. Number 7: M_tot 0.00 μB per formula unit, D(E_F) 2.44 states/eV/cell. Number 8: M_tot 0.00 μB per formula unit, D(E_F) 4.87 states/eV/cell. Number 9: M_tot 3.99 μB per formula unit, D(E_F) 1.80 states/eV/cell. Number 10: M_tot 0.00 μB per formula unit, D(E_F) 1.93 states/eV/cell.